A plane-wave DFT calculation with PBE was carried out for an optimized crystal structure of AcTaPb2O8.

abc: 5.092 7.051 5.093
angles: 90.00 91.94 90.00
Space group P2/m (No. 10)
Symmetry-distinct sites (fractional):
Ac 0.000 0.000 0.000
Ta 0.000 0.500 0.000
Pb 0.500 0.261 0.500
O 0.191 0.295 0.190
O 0.287 0.500 0.712
O 0.323 0.000 0.674

Computed properties:
Mass density in Mg/m³: 8.63

***

A plane-wave DFT calculation with PBE was carried out for an optimized crystal structure of AcTa2PbO8.

abc: 6.2268 6.2268 7.0300
angles: 90.00 90.00 120.00
Space group P-3m1 (No. 164)
Symmetry-distinct sites (fractional):
Ac 0.0000 0.0000 0.0000
Ta 0.3333 0.6667 0.6665
Pb 0.0000 0.0000 0.5000
O 0.1642 0.3284 0.7466
O 0.3333 0.6667 0.4131

Computed properties:
Mass density in Mg/m³: 6.50

***

A plane-wave DFT calculation with PBE was carried out for an optimized crystal structure of Ac2TbPbO6.

abc: 6.080 6.331 10.693
angles: 90.00 124.29 90.00
Space group P2_1/c (No. 14)
Symmetry-distinct sites (fractional):
Ac 0.230 0.055 0.248
Tb 0.500 0.000 0.000
Pb 0.000 0.000 0.500
O 0.135 0.190 0.935
O 0.236 0.705 0.926
O 0.389 0.062 0.758

Computed properties:
Mass density in Mg/m³: 8.95

***

A plane-wave DFT calculation with PBE was carried out for an optimized crystal structure of Ac2Tb4Pb3O2.

abc: 4.793 4.793 26.556
angles: 90.00 90.00 90.00
Space group I4/mmm (No. 139)
Symmetry-distinct sites (fractional):
Ac 0.000 0.000 0.195
Tb 0.000 0.500 0.080
Pb 0.000 0.000 0.331
Pb 0.000 0.000 0.500
O 0.000 0.000 0.091

Computed properties:
Mass density in Mg/m³: 9.49

***

Respective calculated volume values: 182.8 236.1 340.1 610.0 Å³ per cell.
Respective energy relative to the elements, uncorrected values: -1926.2 -2421.6 -2742.9 -1407.4 meV/atom.
Respective calculated total energy values: -7.18 -8.35 -7.37 -5.75 eV per atom.